A:
## HfCoAsIr (PBE)

Data for a geometry-optimized HfCoAsIr structure.

Calculated values
The symmetry is F-43m.

Geometry as POSCAR:
```
HfCoAsIr
1.0
-0.896 1.526 4.111
-3.346 -1.791 2.372
0.900 -2.539 3.575
Ir Hf As Co
1 1 1 1
Direct
0.500 0.500 0.500
0.250 0.250 0.250
0.000 0.000 0.000
0.750 0.750 0.750
```

***

B:
## HfCoAsIr (PBE)

Data for a geometry-optimized HfCoAsIr structure.

Calculated values
The symmetry is F-43m.

Geometry as POSCAR:
```
HfCoAsIr
1.0
-0.515 -0.048 4.422
-3.953 0.994 1.792
-2.439 -3.191 1.923
As Hf Ir Co
1 1 1 1
Direct
0.000 0.000 0.000
0.500 0.500 0.500
0.250 0.250 0.250
0.750 0.750 0.750
```

***

Energy ordering: B at the bottom, the next structure 0.152 eV/atom above.